1.
The following is a PBE-GGA calculation of an optimized crystal structure of GeIBr2, from Alexandria via LeMat-Bulk.

a = 7.6577 Å, b = 7.6577 Å, c = 7.6577 Å
α = 90.00°, β = 90.00°, γ = 90.00°
Space group Fm-3m (No. 225)
Symmetry-distinct sites (fractional):
Ge 0.0000 0.0000 0.0000 (multiplicity 4)
I 0.0000 0.0000 0.5000 (multiplicity 4)
Br 0.2500 0.2500 0.2500 (multiplicity 8)

Values from the calculation:
Polymorph energy (0 for the lowest one), eV/f.u.: 2.13

---

2.
The following is a PBE-GGA calculation of an optimized crystal structure of GeIBr2, from Alexandria via LeMat-Bulk.

a = 3.8375 Å, b = 3.8375 Å, c = 37.1808 Å
α = 90.00°, β = 90.00°, γ = 120.00°
Space group R-3m (No. 166, hexagonal axes)
Symmetry-distinct sites (fractional):
Ge 0.0000 0.0000 0.0000 (multiplicity 3)
I 0.0000 0.0000 0.5000 (multiplicity 3)
Br 0.0000 0.0000 0.3795 (multiplicity 6)

Values from the calculation:
Polymorph energy (0 for the lowest one), eV/f.u.: 0.00

---

no.,DOS(E_F) (states/eV per cell),formation energy (no corrections) (meV/atom)
1,15.67,282
2,7.19,-251